A relaxed Al2CoHg crystal. Source: OQMD, functional PBE-GGA.

Calculated values
Crystal system: cubic
Space group: F-43m
Density (g cm⁻³): 8.411
Final energy (eV for the cell shown): -13.83

abc: 4.4400 4.4400 4.4400
angles: 60.00 60.00 60.00
Fractional positions:
Al  0.0000  0.0000  0.0000
Al  0.7500  0.7500  0.7500
Co  0.2500  0.2500  0.2500
Hg  0.5000  0.5000  0.5000